Record 1
Density functional theory data (PBE) for MgZrPd4 after structural relaxation.

abc: 7.252 6.618 8.759
angles: 131.42 127.15 87.67
Atoms (fractional coordinates):
Zr: 0.875 0.110 0.242
Pd: 0.377 0.625 0.912
Pd: 0.377 0.626 0.590
Pd: 0.118 0.862 0.405
Pd: 0.623 0.375 0.088
Pd: 0.118 0.861 0.074
Zr: 0.125 0.890 0.758
Pd: 0.882 0.138 0.595
Pd: 0.623 0.374 0.410
Mg: 0.612 0.355 0.734
Mg: 0.388 0.645 0.266
Pd: 0.882 0.139 0.926

ΔE_f in eV per atom: -0.62


Record 2
Density functional theory data (PBE) for KPr2HoSe4 after structural relaxation.

abc: 4.218 7.418 7.452
angles: 71.41 90.00 90.00
Atoms (fractional coordinates):
K: 0.500 0.500 0.000
Se: 0.500 0.740 0.266
Pr: 0.000 0.000 0.000
Se: 0.000 0.247 0.267
Pr: 0.500 0.000 0.500
Ho: 0.000 0.500 0.500
Se: 0.000 0.753 0.733
Se: 0.500 0.260 0.734

E_form (uncorrected) in kJ/mol of formula units: -1327


Record 3
Density functional theory data (PBE) for ErZrN after structural relaxation.

abc: 3.347 3.347 21.982
angles: 90.00 90.00 120.00
Atoms (fractional coordinates):
Zr: 0.333 0.667 0.379
Er: 0.000 0.000 0.500
Zr: 0.333 0.667 0.121
Zr: 0.667 0.333 0.879
Er: 0.000 0.000 0.750
N: 0.667 0.333 0.434
N: 0.333 0.667 0.566
Er: 0.000 0.000 0.000
Er: 0.000 0.000 0.250
N: 0.333 0.667 0.934
Zr: 0.667 0.333 0.621
N: 0.667 0.333 0.066

E_form (uncorrected) in kJ/mol of formula units: -320


Record 4
Density functional theory data (PBE) for KCaSb2 after structural relaxation.

abc: 5.705 5.705 11.139
angles: 75.16 75.16 90.00
Atoms (fractional coordinates):
Sb: 0.875 0.999 0.750
K: 0.500 0.500 0.000
Ca: 0.000 0.000 0.000
Sb: 0.749 0.125 0.250
Ca: 0.750 0.250 0.500
Sb: 0.375 0.251 0.750
Sb: 0.001 0.625 0.250
K: 0.250 0.750 0.500

E_form (uncorrected) in kJ/mol of formula units: -142


Record 5
Density functional theory data (PBE) for Sr2TcSnHg after structural relaxation.

abc: 6.323 5.384 6.323
angles: 90.00 90.00 90.00
Atoms (fractional coordinates):
Sn: 0.000 0.000 0.000
Sr: 0.000 0.000 0.500
Sr: 0.500 0.000 0.000
Hg: 0.000 0.500 0.000
Tc: 0.500 0.500 0.500

ΔE_f in eV per atom: 0.87


Record 6
Density functional theory data (PBE) for ScAlTl after structural relaxation.

abc: 4.771 4.771 4.771
angles: 60.00 60.00 60.00
Atoms (fractional coordinates):
Tl: 0.000 0.000 0.000
Sc: 0.750 0.750 0.750
Al: 0.500 0.500 0.500

ΔE_f in eV per atom: 0.15